a.
Fe3RhSe PBE optimized geometry; crystal system = cubic; density = 5.8 g/cm³; D(E_F) = 5.70 states/eV/f.u.
1.0
4.638 0.000 0.000
0.000 4.638 0.000
0.000 0.000 4.638
Fe Rh Se
3 1 1
direct
0.000 0.000 0.500
0.000 0.500 0.000
0.500 0.000 0.000
0.000 0.000 0.000
0.500 0.500 0.500



b.
Fe3RhSe PBE optimized geometry; crystal system = cubic; density = 7.1 g/cm³; D(E_F) = 3.49 states/eV/f.u.
1.0
4.337 0.000 0.000
0.000 4.337 0.000
0.000 0.000 4.337
Fe Rh Se
3 1 1
direct
0.000 0.000 0.500
0.000 0.500 0.000
0.500 0.000 0.000
0.500 0.500 0.500
0.000 0.000 0.000



Least stable: a



a.
Fe3SiRh PBE optimized geometry; crystal system = cubic; density = 5.2 g/cm³; D(E_F) = 5.87 states/eV/f.u.
1.0
4.580 0.000 0.000
0.000 4.580 0.000
0.000 0.000 4.580
Fe Si Rh
3 1 1
direct
0.000 0.000 0.500
0.000 0.500 0.000
0.500 0.000 0.000
0.500 0.500 0.500
0.000 0.000 0.000



b.
Fe3SiRh PBE optimized geometry; crystal system = cubic; density = 6.7 g/cm³; D(E_F) = 7.77 states/eV/f.u.
1.0
4.201 0.000 0.000
0.000 4.201 0.000
0.000 0.000 4.201
Fe Si Rh
3 1 1
direct
0.000 0.000 0.500
0.000 0.500 0.000
0.500 0.000 0.000
0.000 0.000 0.000
0.500 0.500 0.500



Least stable: a



a.
FeSiRh3 PBE optimized geometry; crystal system = cubic; density = 7.9 g/cm³; D(E_F) = 10.15 states/eV/f.u.
1.0
4.352 0.000 0.000
0.000 4.352 0.000
0.000 0.000 4.352
Fe Si Rh
1 1 3
direct
0.000 0.000 0.000
0.500 0.500 0.500
0.000 0.500 0.500
0.500 0.000 0.500
0.500 0.500 0.000



b.
FeSiRh3 PBE optimized geometry; crystal system = cubic; density = 7.4 g/cm³; D(E_F) = 4.48 states/eV/f.u.
1.0
4.448 0.000 0.000
0.000 4.448 0.000
0.000 0.000 4.448
Fe Si Rh
1 1 3
direct
0.000 0.000 0.000
0.500 0.500 0.500
0.000 0.000 0.500
0.000 0.500 0.000
0.500 0.000 0.000



Least stable: b



a.
SrFe2Rh2 PBE optimized geometry; crystal system = tetragonal; density = 7.2 g/cm³; D(E_F) = 6.00 states/eV/f.u.
1.0
-2.104 2.104 5.301
2.104 -2.104 5.301
2.104 2.104 -5.301
Sr Fe Rh
1 2 2
direct
0.000 0.000 0.000
0.250 0.750 0.500
0.750 0.250 0.500
0.376 0.376 0.000
0.624 0.624 0.000



b.
SrFe2Rh2 PBE optimized geometry; crystal system = tetragonal; density = 8.0 g/cm³; D(E_F) = 5.16 states/eV/f.u.
1.0
7.659 0.000 0.000
0.000 7.659 0.000
0.000 0.000 2.852
Sr Fe Rh
2 4 4
direct
0.000 0.000 0.000
0.500 0.500 0.000
0.115 0.385 0.000
0.385 0.885 0.000
0.615 0.115 0.000
0.885 0.615 0.000
0.172 0.672 0.500
0.328 0.172 0.500
0.672 0.828 0.500
0.828 0.328 0.500



c.
SrFe2Rh2 PBE optimized geometry; crystal system = tetragonal; density = 7.4 g/cm³; D(E_F) = 4.12 states/eV/f.u.
1.0
-2.178 2.178 4.816
2.178 -2.178 4.816
2.178 2.178 -4.816
Sr Fe Rh
1 2 2
direct
0.000 0.000 0.000
0.375 0.375 0.000
0.625 0.625 0.000
0.250 0.750 0.500
0.750 0.250 0.500



Least stable: b



a.
SrFeRh2 PBE optimized geometry; crystal system = trigonal; density = 6.8 g/cm³; D(E_F) = 3.90 states/eV/f.u.
1.0
2.152 1.243 5.342
-2.152 1.243 5.342
0.000 -2.485 5.342
Sr Fe Rh
1 1 2
direct
0.000 0.000 0.000
0.500 0.500 0.500
0.193 0.193 0.193
0.807 0.807 0.807



b.
SrFeRh2 PBE optimized geometry; crystal system = tetragonal; density = 8.1 g/cm³; D(E_F) = 1.52 states/eV/f.u.
1.0
4.662 0.000 0.000
0.000 4.662 0.000
0.000 0.000 3.286
Sr Fe Rh
1 1 2
direct
0.000 0.000 0.000
0.500 0.500 0.000
0.000 0.500 0.500
0.500 0.000 0.500



c.
SrFeRh2 PBE optimized geometry; crystal system = cubic; density = 8.4 g/cm³; D(E_F) = 6.98 states/eV/f.u.
1.0
0.000 3.258 3.258
3.258 0.000 3.258
3.258 3.258 0.000
Sr Fe Rh
1 1 2
direct
0.000 0.000 0.000
0.500 0.500 0.500
0.250 0.250 0.250
0.750 0.750 0.750



Least stable: c



a.
SrFeRh2 PBE optimized geometry; crystal system = tetragonal; density = 8.0 g/cm³; D(E_F) = 2.16 states/eV/f.u.
1.0
3.167 0.000 0.000
0.000 3.167 0.000
0.000 0.000 7.191
Sr Fe Rh
1 1 2
direct
0.000 0.000 0.000
0.000 0.000 0.500
0.500 0.500 0.308
0.500 0.500 0.692



b.
SrFeRh2 PBE optimized geometry; crystal system = orthorhombic; density = 8.1 g/cm³; D(E_F) = 4.31 states/eV/f.u.
1.0
3.297 0.000 0.000
0.000 4.429 0.000
0.000 0.000 4.894
Sr Fe Rh
1 1 2
direct
0.000 0.000 0.000
0.500 0.000 0.500
0.000 0.500 0.500
0.500 0.500 0.000



Least stable: b



a.
SrFeRh2 PBE optimized geometry; crystal system = monoclinic; density = 7.4 g/cm³; D(E_F) = 2.93 states/eV/f.u.
1.0
3.117 0.000 0.000
0.000 4.276 0.000
-0.399 0.000 5.876
Sr Fe Rh
1 1 2
direct
0.000 0.000 0.000
0.929 0.500 0.428
0.466 0.000 0.472
0.469 0.500 0.755



b.
SrFeRh2 PBE optimized geometry; crystal system = cubic; density = 8.2 g/cm³; D(E_F) = 3.74 states/eV/f.u.
1.0
0.000 3.281 3.281
3.281 0.000 3.281
3.281 3.281 0.000
Sr Fe Rh
1 1 2
direct
0.000 0.000 0.000
0.750 0.750 0.750
0.250 0.250 0.250
0.500 0.500 0.500



c.
SrFeRh2 PBE optimized geometry; crystal system = tetragonal; density = 8.1 g/cm³; D(E_F) = 4.73 states/eV/f.u.
1.0
-2.037 2.037 4.323
2.037 -2.037 4.323
2.037 2.037 -4.323
Sr Fe Rh
1 1 2
direct
0.000 0.000 0.000
0.250 0.750 0.500
0.500 0.500 0.000
0.750 0.250 0.500



Least stable: b



a.
SrFeRh2 PBE optimized geometry; crystal system = orthorhombic; density = 7.7 g/cm³; D(E_F) = 3.96 states/eV/f.u.
1.0
2.982 0.000 0.000
0.000 3.699 0.000
0.000 0.000 6.837
Sr Fe Rh
1 1 2
direct
0.000 0.000 0.000
0.500 0.500 0.354
0.000 0.000 0.487
0.500 0.500 0.709



b.
SrFeRh2 PBE optimized geometry; crystal system = tetragonal; density = 6.1 g/cm³; D(E_F) = 6.78 states/eV/f.u.
1.0
-2.417 2.417 8.151
2.417 -2.417 8.151
2.417 2.417 -8.151
Sr Fe Rh
2 2 4
direct
0.000 0.000 0.000
0.750 0.250 0.500
0.250 0.750 0.500
0.500 0.500 0.000
0.300 0.625 0.175
0.375 0.550 0.675
0.450 0.125 0.825
0.875 0.700 0.325



Least stable: b



a.
SrFeRh PBE optimized geometry; crystal system = cubic; density = 5.7 g/cm³; D(E_F) = 2.83 states/eV/f.u.
1.0
0.000 3.296 3.296
3.296 0.000 3.296
3.296 3.296 0.000
Sr Fe Rh
1 1 1
direct
0.000 0.000 0.000
0.250 0.250 0.250
0.750 0.750 0.750



b.
SrFeRh PBE optimized geometry; crystal system = cubic; density = 5.8 g/cm³; D(E_F) = 4.60 states/eV/f.u.
1.0
0.000 3.274 3.274
3.274 0.000 3.274
3.274 3.274 0.000
Sr Fe Rh
1 1 1
direct
0.000 0.000 0.000
0.500 0.500 0.500
0.250 0.250 0.250



c.
SrFeRh PBE optimized geometry; crystal system = hexagonal; density = 5.9 g/cm³; D(E_F) = 4.35 states/eV/f.u.
1.0
4.127 0.000 0.000
-2.063 3.574 0.000
0.000 0.000 4.715
Sr Fe Rh
1 1 1
direct
0.000 0.000 0.000
0.667 0.333 0.500
0.333 0.667 0.500



Least stable: a



a.
SrFeRh PBE optimized geometry; crystal system = tetragonal; density = 6.0 g/cm³; D(E_F) = 3.11 states/eV/f.u.
1.0
4.348 0.000 0.000
0.000 4.348 0.000
0.000 0.000 7.198
Sr Fe Rh
2 2 2
direct
0.250 0.250 0.169
0.750 0.750 0.831
0.250 0.750 0.500
0.750 0.250 0.500
0.250 0.250 0.671
0.750 0.750 0.329



b.
SrFeRh PBE optimized geometry; crystal system = orthorhombic; density = 6.4 g/cm³; D(E_F) = 2.06 states/eV/f.u.
1.0
-1.656 1.764 5.466
1.656 -1.764 5.466
1.656 1.764 -5.466
Sr Fe Rh
1 1 1
direct
0.000 0.000 0.000
0.723 0.723 0.000
0.282 0.282 0.000



Least stable: b



a.
SrFe3Rh PBE optimized geometry; crystal system = cubic; density = 6.2 g/cm³; D(E_F) = 9.37 states/eV/f.u.
1.0
4.577 0.000 0.000
0.000 4.577 0.000
0.000 0.000 4.577
Sr Fe Rh
1 3 1
direct
0.000 0.000 0.000
0.000 0.000 0.500
0.000 0.500 0.000
0.500 0.000 0.000
0.500 0.500 0.500



b.
SrFe3Rh PBE optimized geometry; crystal system = cubic; density = 5.5 g/cm³; D(E_F) = 5.82 states/eV/f.u.
1.0
4.757 0.000 0.000
0.000 4.757 0.000
0.000 0.000 4.757
Sr Fe Rh
1 3 1
direct
0.000 0.000 0.000
0.000 0.500 0.500
0.500 0.000 0.500
0.500 0.500 0.000
0.500 0.500 0.500



Least stable: a



a.
TaFe2Rh PBE optimized geometry; crystal system = tetragonal; density = 11.8 g/cm³; D(E_F) = 4.08 states/eV/f.u.
1.0
3.124 0.000 0.000
0.000 3.124 0.000
0.000 0.000 5.698
Ta Fe Rh
1 2 1
direct
0.000 0.000 0.000
0.500 0.500 0.248
0.500 0.500 0.752
0.000 0.000 0.500



b.
TaFe2Rh PBE optimized geometry; crystal system = trigonal; density = 11.4 g/cm³; D(E_F) = 4.77 states/eV/f.u.
1.0
1.387 0.801 8.683
-1.387 0.801 8.683
0.000 -1.601 8.683
Ta Fe Rh
1 2 1
direct
0.000 0.000 0.000
0.246 0.246 0.246
0.754 0.754 0.754
0.500 0.500 0.500



c.
TaFe2Rh PBE optimized geometry; crystal system = monoclinic; density = 11.6 g/cm³; D(E_F) = 3.47 states/eV/f.u.
1.0
2.706 0.000 0.000
0.000 4.220 0.000
-1.113 0.000 4.953
Ta Fe Rh
1 2 1
direct
0.000 0.000 0.000
0.246 0.500 0.750
0.754 0.500 0.250
0.500 0.000 0.500



d.
TaFe2Rh PBE optimized geometry; crystal system = tetragonal; density = 12.0 g/cm³; D(E_F) = 3.45 states/eV/f.u.
1.0
3.777 0.000 0.000
0.000 3.777 0.000
0.000 0.000 3.830
Ta Fe Rh
1 2 1
direct
0.000 0.000 0.000
0.000 0.500 0.500
0.500 0.000 0.500
0.500 0.500 0.000



Least stable: b